(1)
K2AuI at its PBEsol-relaxed geometry, computed with meta-GGA SCAN.

```
4
Lattice="5.7333 0.0000 0.0000 2.8666 4.9652 0.0000 2.8666 1.6551 4.6812" Properties=species:S:1:pos:R:3 pbc="T T T"
K 8.5999 4.9652 3.5109
K 2.8666 1.6551 1.1703
Au 5.7333 3.3101 2.3406
I 0.0000 0.0000 0.0000
```

* formation energy without anion corrections: -0.969 eV/atom
* Fermi-level density of states: 0.00 states/eV/f.u.
* electronic total energy: -31.6081 eV per atom
* symmetry: No. 225

=====

(2)
K3Au3I8 at its PBEsol-relaxed geometry, computed with meta-GGA SCAN.

```
28
Lattice="7.4854 -0.2872 0.1724 2.9602 6.8812 0.1724 2.2886 1.4447 19.4850" Properties=species:S:1:pos:R:3 pbc="T T T"
I 8.6272 2.6610 11.3756
I 2.7969 3.6363 4.7651
I 6.9575 2.1498 7.4336
I 8.7295 5.0899 1.7700
I 5.6300 1.6834 14.5076
I 9.4939 6.4140 11.5125
I 6.6566 1.9599 2.6537
I 4.9686 5.9216 1.6331
I 6.0775 6.0788 17.1761
I 7.1042 6.3553 5.3222
I 5.7766 5.8889 12.3962
I 3.2403 1.6247 8.3173
I 9.9372 4.4025 15.0647
I 4.0047 2.9488 18.0598
I 7.7656 2.1171 18.1967
I 4.1069 5.3777 8.4542
K 3.6720 7.0211 5.0437
K 9.3535 5.5647 18.3320
K 7.9024 5.3284 8.5895
K 3.3807 2.4740 1.4978
K 4.8318 2.7103 11.2403
K 9.0621 1.0176 14.7862
Au 6.7624 4.1241 4.0625
Au 0.0000 0.0000 0.0000
Au 1.1443 0.7224 9.7425
Au 7.7759 5.0536 13.8051
Au 5.9717 3.9146 15.7673
Au 4.9582 2.9851 6.0248
```

* formation energy without anion corrections: -0.757 eV/atom
* electronic total energy: -38.3567 eV per atom
* symmetry: No. 15